Computed, not measured: an optimized crystal structure of CaCu2Tc at the PBE level of DFT.

The calculation puts the offset from the most stable computed form at 0.034 eV per atom.

The structure belongs to space group Cm (No. 8); the cell edges are 10.060, 2.680 and 4.943 Å and the angles 90.00°, 108.46° and 90.00°. The inequivalent atoms are Ca at (0.000, 0.000, 0.000), Cu at (0.029, 0.500, 0.505), Cu at (0.236, 0.000, 0.834) and Tc at (0.283, 0.500, 0.386).

=====

Computed, not measured: an optimized crystal structure of Ca2CuTc at the PBE level of DFT.

The calculation puts the offset from the most stable computed form at 0.407 eV per atom.

The structure belongs to space group I-42d (No. 122); the cell edges are 7.807, 7.807 and 5.922 Å and the angles 90.00°, 90.00° and 90.00°. The inequivalent atoms are Ca at (0.232, 0.250, 0.125), Cu at (0.000, 0.000, 0.000) and Tc at (0.000, 0.000, 0.500).

=====

Computed, not measured: an optimized crystal structure of CaCu2Tc at the PBE level of DFT.

The calculation puts the offset from the most stable computed form at 0.198 eV per atom.

The structure belongs to space group I-4m2 (No. 119); the cell edges are 3.874, 3.874 and 8.696 Å and the angles 90.00°, 90.00° and 90.00°. The inequivalent atoms are Ca at (0.000, 0.000, 0.000), Cu at (0.000, 0.000, 0.500), Cu at (0.000, 0.500, 0.750) and Tc at (0.000, 0.500, 0.250).

=====

Computed, not measured: an optimized crystal structure of CaCu2Tc at the PBE level of DFT.

The calculation puts the offset from the most stable computed form at 0.293 eV per atom.

The structure belongs to space group F-43m (No. 216); the cell edges are 6.425, 6.425 and 6.425 Å and the angles 90.00°, 90.00° and 90.00°. The inequivalent atoms are Ca at (0.000, 0.000, 0.000), Cu at (0.000, 0.000, 0.500), Cu at (0.250, 0.250, 0.750) and Tc at (0.250, 0.250, 0.250).

=====

Computed, not measured: an optimized crystal structure of CaCuTc4 at the PBE level of DFT.

The structure belongs to space group F-43m (No. 216); the cell edges are 7.410, 7.410 and 7.410 Å and the angles 90.00°, 90.00° and 90.00°. The inequivalent atoms are Ca at (0.000, 0.000, 0.000), Cu at (0.250, 0.250, 0.750) and Tc at (0.124, 0.124, 0.376).

=====

Computed, not measured: an optimized crystal structure of CaCuTc at the PBE level of DFT.

The calculation puts the offset from the most stable computed form at 0.997 eV per atom.

The structure belongs to space group F-43m (No. 216); the cell edges are 6.496, 6.496 and 6.496 Å and the angles 90.00°, 90.00° and 90.00°. The inequivalent atoms are Ca at (0.000, 0.000, 0.000), Cu at (0.250, 0.250, 0.750) and Tc at (0.250, 0.250, 0.250).

=====

Computed, not measured: an optimized crystal structure of CaCu2Tc at the PBE level of DFT.

The calculation puts the offset from the most stable computed form at 0.065 eV per atom.

The structure belongs to space group P4mm (No. 99); the cell edges are 2.853, 2.853 and 7.899 Å and the angles 90.00°, 90.00° and 90.00°. The inequivalent atoms are Ca at (0.000, 0.000, 0.000), Cu at (0.000, 0.000, 0.479), Cu at (0.500, 0.500, 0.290) and Tc at (0.500, 0.500, 0.695).

=====

Computed, not measured: an optimized crystal structure of CaCuTc at the PBE level of DFT.

The calculation puts the offset from the most stable computed form at 0.129 eV per atom.

The structure belongs to space group P3m1 (No. 156); the cell edges are 4.7534, 4.7534 and 2.6880 Å and the angles 90.00°, 90.00° and 120.00°. The inequivalent atoms are Ca at (0.0000, 0.0000, 0.0000), Cu at (0.6667, 0.3333, 0.4981) and Tc at (0.3333, 0.6667, 0.5003).

=====

Computed, not measured: an optimized crystal structure of Ca2CuTc at the PBE level of DFT.

The calculation puts the offset from the most stable computed form at 0.025 eV per atom.

The structure belongs to space group Cm (No. 8); the cell edges are 11.177, 3.058 and 5.331 Å and the angles 90.00°, 109.24° and 90.00°. The inequivalent atoms are Ca at (0.000, 0.000, 0.000), Ca at (0.198, 0.000, 0.624), Cu at (0.439, 0.000, 0.464) and Tc at (0.266, 0.500, 0.169).

=====

Computed, not measured: an optimized crystal structure of CaCu2Tc at the PBE level of DFT.

The calculation puts the offset from the most stable computed form at 0.000 eV per atom.

The structure belongs to space group P2/m (No. 10); the cell edges are 2.886, 3.655 and 6.348 Å and the angles 90.00°, 90.09° and 90.00°. The inequivalent atoms are Ca at (0.000, 0.000, 0.000), Cu at (0.499, 0.500, 0.305) and Tc at (0.000, 0.000, 0.500).

=====

Computed, not measured: an optimized crystal structure of Ca2CuTc at the PBE level of DFT.

The calculation puts the offset from the most stable computed form at 0.009 eV per atom.

The structure belongs to space group Amm2 (No. 38); the cell edges are 4.185, 4.349 and 10.648 Å and the angles 90.00°, 90.00° and 90.00°. The inequivalent atoms are Ca at (0.000, 0.000, 0.000), Ca at (0.500, 0.000, 0.291), Cu at (0.000, 0.000, 0.702) and Tc at (0.500, 0.000, 0.591).

=====

Computed, not measured: an optimized crystal structure of CaCu2Tc at the PBE level of DFT.

The calculation puts the offset from the most stable computed form at 0.445 eV per atom.

The structure belongs to space group I-42d (No. 122); the cell edges are 4.554, 4.554 and 17.140 Å and the angles 90.00°, 90.00° and 90.00°. The inequivalent atoms are Ca at (0.000, 0.000, 0.000), Cu at (0.077, 0.250, 0.625) and Tc at (0.000, 0.000, 0.500).

=====

| no. | E_form (eV per atom) | density (Mg/m³) |
| --- | --- | --- |
| 1 | 0.352 | 7.0 |
| 2 | 0.750 | 4.4 |
| 3 | 0.516 | 6.7 |
| 4 | 0.611 | 6.6 |
| 5 | 0.462 | 8.1 |
| 6 | 1.456 | 4.9 |
| 7 | 0.383 | 6.8 |
| 8 | 0.588 | 6.4 |
| 9 | 0.368 | 4.7 |
| 10 | 0.318 | 6.6 |
| 11 | 0.352 | 4.1 |
| 12 | 0.763 | 5.0 |